Entry 1:
Density functional theory data (meta-GGA SCAN) for a PBEsol-optimized structure of MgV3O8.

a b c (Å): 7.7142 8.5199 10.3697
angles (deg): 90.00 119.81 90.00
With the nearest neighbours (Å) after each atom.
Space group P2_1/c (No. 14)
Asymmetric unit:
Mg (0.2039, 0.1861, 0.3852) (multiplicity 4)  5 O 2.00-2.14
V (0.2078, 0.5024, 0.1820) (multiplicity 4)  4 O 1.68-1.77
V (0.2336, 0.6785, 0.8976) (multiplicity 4)  1 O 1.63
V (0.2743, 0.5109, 0.6233) (multiplicity 4)  4 O 1.64-1.79
O (0.1074, 0.1572, 0.7148) (multiplicity 4)  1 V 1.68
O (0.1339, 0.6701, 0.2351) (multiplicity 4)  1 V 1.73
O (0.1829, 0.5044, 0.0026) (multiplicity 4)  1 V 1.77
O (0.1919, 0.6734, 0.5175) (multiplicity 4)  1 V 1.68
O (0.2016, 0.1495, 0.0224) (multiplicity 4)  1 V 1.64
O (0.2099, 0.5044, 0.7635) (multiplicity 4)  1 V 1.75
O (0.4606, 0.0150, 0.7984) (multiplicity 4)  2 V 1.71-1.79
O (0.4771, 0.6922, 0.9869) (multiplicity 4)  1 V 1.63

Its formation energy (no corrections) is -2675 meV/atom. Its calculated density is 3.43 g/cm3. The size of the total moment comes out at 1.000 μB per formula unit.



Entry 2:
Density functional theory data (meta-GGA SCAN) for a PBEsol-optimized structure of CaTl2Os.

a b c (Å): 3.3473 3.3473 7.5856
angles (deg): 90.00 90.00 90.00
With the nearest neighbours (Å) after each atom.
Space group P4/mmm (No. 123)
Asymmetric unit:
Ca (0.0000, 0.0000, 0.0000) (multiplicity 1)  8 Tl 3.22, 4 Ca 3.35
Tl (0.5000, 0.5000, 0.2879) (multiplicity 2)  4 Os 2.86
Os (0.0000, 0.0000, 0.5000) (multiplicity 1)  8 Tl 2.86

Its calculated density is 12.49 g/cm3. For the formation energy, the calculation gives 1.4 eV per formula unit. The size of the total moment comes out at 0.000 μB per formula unit.